Ba2NaHg16 after structural relaxation, computed with PBE-GGA.

a = 8.3752 Å, b = 8.3752 Å, c = 8.3752 Å
α = 76.08°, β = 76.08°, γ = 76.08°
Atoms (fractional coordinates):
Hg 0.3800 0.3800 0.7618
Hg 0.9979 0.3037 0.7026
Hg 0.3800 0.7618 0.3800
Hg 0.6657 0.0846 0.6657
Hg 0.0846 0.6657 0.6657
Hg 0.7026 0.3037 0.9979
Hg 0.0861 0.0861 0.0861
Hg 0.7618 0.3800 0.3800
Hg 0.3037 0.9979 0.7026
Hg 0.9979 0.7026 0.3037
Hg 0.3037 0.7026 0.9979
Hg 0.6657 0.6657 0.0846
Hg 0.4672 0.0427 0.0427
Hg 0.0427 0.4672 0.0427
Hg 0.7026 0.9979 0.3037
Hg 0.0427 0.0427 0.4672
Ba 0.6638 0.6638 0.6638
Ba 0.3384 0.3384 0.3384
Na 0.9130 0.9130 0.9130

E_tot: -14.25 eV for the cell shown
formation energy: -224 meV/atom